# SrCa2Cl, relaxed, DFT PBE
data_SrCa2Cl
_symmetry_space_group_name_H-M 'P 1'
_symmetry_Int_Tables_number 1
_cell_length_a 10.954
_cell_length_b 10.954
_cell_length_c 10.954
_cell_angle_alpha 20.97
_cell_angle_beta 20.97
_cell_angle_gamma 20.97
loop_
_symmetry_equiv_pos_as_xyz
'x,y,z'
loop_
_atom_site_label
_atom_site_fract_x
_atom_site_fract_y
_atom_site_fract_z
Sr1 0.766 0.766 0.766
Ca1 0.997 0.997 0.997
Ca2 0.234 0.234 0.234
Cl1 0.503 0.503 0.503
# E_form (uncorrected) ... -0.791 eV/atom
# Total moment ... 0.56 μB/f.u.
# ΔE to the lowest computed polymorph ... 0.000 eV per atom
# Energy ... -2.674 eV/atom